Below is crystalline KUAg2S4 at its relaxed geometry, with properties calculated at the PBE level.

Properties
calculated density = 5.06 g/cm³
space-group type = I222
ΔE_f (raw) = -0.679 eV per atom

Unit cell a=6.7514 b=6.4659 c=6.4659 alpha=69.01 beta=58.53 gamma=58.53
Last column: nearest neighbours and their distance in Å.
Element x y z (fractional)
K  0.0000  0.0000  0.0000  8 S 3.24-3.39
U  0.5000  0.5000  0.5000  4 S 2.54
Ag  0.1792  0.3208  0.3208  2 S 2.47
Ag  0.8208  0.6792  0.6792  2 S 2.47
S  0.4635  0.1177  0.5320  1 Ag 2.47, 1 U 2.54
S  0.1131  0.8823  0.4680  1 Ag 2.47, 1 U 2.54
S  0.8869  0.5320  0.1177  1 Ag 2.47, 1 U 2.54
S  0.5365  0.4680  0.8823  1 Ag 2.47, 1 U 2.54

Below is crystalline KU2Ag2S7 at its relaxed geometry, with properties calculated at the PBE level.

Properties
calculated density = 5.26 g/cm³
space-group type = Immm
ΔE_f (raw) = -0.920 eV per atom

Unit cell a=5.1509 b=5.2241 c=11.7943 alpha=102.79 beta=102.61 gamma=90.00
Last column: nearest neighbours and their distance in Å.
Element x y z (fractional)
K  0.0000  0.0000  0.0000  12 S 3.51-3.67
U  0.3840  0.3840  0.7679  6 S 2.55-2.62
U  0.6160  0.6159  0.2321  6 S 2.55-2.62
Ag  0.2795  0.7796  0.5592  5 S 2.55-2.81
Ag  0.7204  0.2203  0.4408  5 S 2.55-2.81
S  0.3935  0.8935  0.7868  1 Ag 2.55, 2 U 2.62
S  0.7300  0.7299  0.4600  1 U 2.55, 4 Ag 2.62-2.81
S  0.1111  0.6110  0.2223  2 U 2.58
S  0.6066  0.1065  0.2132  1 Ag 2.55, 2 U 2.62
S  0.2700  0.2701  0.5400  1 U 2.55, 4 Ag 2.62-2.81
S  0.8889  0.3889  0.7777  2 U 2.58
S  0.5000  0.5000  0.0000  2 U 2.60

Below is crystalline KU3Ag4S12 at its relaxed geometry, with properties calculated at the PBE level.

Properties
calculated density = 4.60 g/cm³
space-group type = R32
ΔE_f (raw) = -0.688 eV per atom

Unit cell a=8.8703 b=8.8703 c=8.8703 alpha=107.87 beta=107.87 gamma=107.87
Last column: nearest neighbours and their distance in Å.
Element x y z (fractional)
K  0.0000  0.0000  0.0000  6 S 3.43
U  0.5639  0.4361  0.0000  6 S 2.47-2.62
U  0.4361  0.0000  0.5639  6 S 2.47-2.62
U  0.0000  0.5639  0.4361  6 S 2.47-2.62
Ag  0.9295  0.0705  0.5000  3 S 2.44-2.50
Ag  0.0705  0.5000  0.9295  3 S 2.44-2.50
Ag  0.5000  0.9295  0.0705  3 S 2.44-2.50
Ag  0.5000  0.5000  0.5000  3 S 2.42
S  0.5000  0.3310  0.6690  1 Ag 2.42, 2 U 2.60
S  0.8965  0.5000  0.1035  1 Ag 2.50, 2 U 2.62
S  0.1035  0.8965  0.5000  1 Ag 2.50, 2 U 2.62
S  0.5000  0.1035  0.8965  1 Ag 2.50, 2 U 2.62
S  0.3448  0.9528  0.2546  1 Ag 2.44, 1 U 2.47
S  0.2546  0.3448  0.9528  1 Ag 2.44, 1 U 2.47
S  0.9528  0.2546  0.3448  1 Ag 2.44, 1 U 2.47
S  0.6552  0.7454  0.0472  1 Ag 2.44, 1 U 2.47
S  0.0472  0.6552  0.7454  1 Ag 2.44, 1 U 2.47
S  0.7454  0.0472  0.6552  1 Ag 2.44, 1 U 2.47
S  0.6690  0.5000  0.3310  1 Ag 2.42, 2 U 2.60
S  0.3310  0.6690  0.5000  1 Ag 2.42, 2 U 2.60

Below is crystalline K3U2AgS9 at its relaxed geometry, with properties calculated at the PBE level.

Properties
calculated density = 4.06 g/cm³
space-group type = P-3m1
ΔE_f (raw) = -0.942 eV per atom

Unit cell a=7.2376 b=7.2376 c=8.9224 alpha=90.00 beta=90.00 gamma=120.00
Last column: nearest neighbours and their distance in Å.
Element x y z (fractional)
K  0.3333  0.6667  0.6593  12 S 3.62-3.69
K  0.0000  0.0000  0.0000  12 S 3.56-3.62
K  0.6667  0.3333  0.3407  12 S 3.62-3.69
U  0.3333  0.6667  0.1762  6 S 2.46-2.61
U  0.6667  0.3333  0.8238  6 S 2.46-2.61
Ag  0.0000  0.0000  0.5000  6 S 2.62
S  0.8330  0.1670  0.6771  1 U 2.46, 1 Ag 2.62
S  0.8330  0.6661  0.6771  1 U 2.46, 1 Ag 2.62
S  0.3339  0.1670  0.6771  1 U 2.46, 1 Ag 2.62
S  0.6661  0.8330  0.3229  1 U 2.46, 1 Ag 2.62
S  0.1670  0.3339  0.3229  1 U 2.46, 1 Ag 2.62
S  0.1670  0.8330  0.3229  1 U 2.46, 1 Ag 2.62
S  0.5000  0.0000  0.0000  2 U 2.61
S  0.0000  0.5000  0.0000  2 U 2.61
S  0.5000  0.5000  0.0000  2 U 2.61

Below is crystalline K2VAgS2 at its relaxed geometry, with properties calculated at the PBE level.

Properties
calculated density = 3.04 g/cm³
space-group type = Fddd
ΔE_f (raw) = -0.278 eV per atom

Unit cell a=13.5511 b=12.8999 c=7.5518 alpha=78.21 beta=68.73 gamma=33.06
Last column: nearest neighbours and their distance in Å.
Element x y z (fractional)
K  0.8370  0.2047  0.4288  1 Ag 3.05, 2 K 3.09-3.39, 1 S 3.31
K  0.2047  0.8370  0.5295  1 Ag 3.05, 2 K 3.09-3.39, 1 S 3.31
K  0.5295  0.4288  0.2047  1 Ag 3.05, 2 K 3.09-3.39, 1 S 3.31
K  0.4130  0.0453  0.8212  1 Ag 3.05, 2 K 3.09-3.39, 1 S 3.31
K  0.4288  0.5295  0.8370  1 Ag 3.05, 2 K 3.09-3.39, 1 S 3.31
K  0.0453  0.4130  0.7205  1 Ag 3.05, 2 K 3.09-3.39, 1 S 3.31
K  0.7205  0.8212  0.0453  1 Ag 3.05, 2 K 3.09-3.39, 1 S 3.31
K  0.8212  0.7205  0.4130  1 Ag 3.05, 2 K 3.09-3.39, 1 S 3.31
V  0.6250  0.1250  0.6250  4 S 2.49-2.64
V  0.1250  0.6250  0.6250  4 S 2.49-2.64
V  0.6250  0.6250  0.1250  4 S 2.49-2.64
V  0.6250  0.6250  0.6250  4 S 2.49-2.64
Ag  0.1250  0.6250  0.1250  2 S 2.36
Ag  0.6250  0.1250  0.1250  2 S 2.36
Ag  0.1250  0.1250  0.6250  2 S 2.36
Ag  0.1250  0.1250  0.1250  2 S 2.36
S  0.4157  0.2628  0.4521  1 Ag 2.36, 2 V 2.49-2.64
S  0.2628  0.4157  0.8694  1 Ag 2.36, 2 V 2.49-2.64
S  0.8694  0.4521  0.2628  1 Ag 2.36, 2 V 2.49-2.64
S  0.8343  0.9872  0.7979  1 Ag 2.36, 2 V 2.49-2.64
S  0.4521  0.8694  0.4157  1 Ag 2.36, 2 V 2.49-2.64
S  0.9872  0.8343  0.3806  1 Ag 2.36, 2 V 2.49-2.64
S  0.3806  0.7979  0.9872  1 Ag 2.36, 2 V 2.49-2.64
S  0.7979  0.3806  0.8343  1 Ag 2.36, 2 V 2.49-2.64

Below is crystalline K2VAgS4 at its relaxed geometry, with properties calculated at the PBE level.

Properties
calculated density = 2.76 g/cm³
space-group type = Fddd
ΔE_f (raw) = -0.915 eV per atom

Unit cell a=5.7403 b=7.1567 c=12.0390 alpha=84.51 beta=76.21 gamma=66.36
Last column: nearest neighbours and their distance in Å.
Element x y z (fractional)
K  0.1800  0.0000  0.6401  6 S 3.29-3.61
K  0.8200  0.0000  0.3599  6 S 3.29-3.61
K  0.5700  0.5000  0.8599  6 S 3.29-3.61
K  0.9300  0.5000  0.1401  6 S 3.29-3.61
V  0.2500  0.5000  0.5000  4 S 2.19
V  0.5000  0.0000  0.0000  4 S 2.19
Ag  0.7500  0.5000  0.5000  4 S 2.50
Ag  0.0000  0.0000  0.0000  4 S 2.50
S  0.3389  0.7997  0.1107  1 V 2.19
S  0.2494  0.2003  0.8893  1 V 2.19
S  0.8614  0.7997  0.8893  1 V 2.19
S  0.5503  0.2003  0.1107  1 V 2.19
S  0.4111  0.7003  0.3893  1 V 2.19
S  0.5006  0.2997  0.6107  1 V 2.19
S  0.8886  0.7003  0.6107  1 V 2.19
S  0.1997  0.2997  0.3893  1 V 2.19

Below is crystalline K2VAgS4 at its relaxed geometry, with properties calculated at the PBE level.

Properties
calculated density = 2.79 g/cm³
space-group type = Fddd
ΔE_f (raw) = -0.950 eV per atom

Unit cell a=13.0948 b=11.6837 c=7.2051 alpha=84.22 beta=62.59 gamma=33.19
Last column: nearest neighbours and their distance in Å.
Element x y z (fractional)
K  0.0697  0.0697  0.4303  6 S 3.31-3.49
K  0.1803  0.1803  0.8197  6 S 3.31-3.49
K  0.4303  0.4303  0.0697  6 S 3.31-3.49
K  0.8197  0.8197  0.1803  6 S 3.31-3.49
V  0.0000  0.0000  0.0000  4 S 2.19
V  0.2500  0.2500  0.2500  4 S 2.19
Ag  0.5000  0.5000  0.5000  4 S 2.53
Ag  0.7500  0.7500  0.7500  4 S 2.53
S  0.7544  0.3592  0.0459  1 V 2.19
S  0.0459  0.8405  0.7544  1 V 2.19
S  0.8405  0.0459  0.3592  1 V 2.19
S  0.3592  0.7544  0.8405  1 V 2.19
S  0.4956  0.8908  0.2041  1 V 2.19
S  0.4095  0.2041  0.8908  1 V 2.19
S  0.2041  0.4095  0.4956  1 V 2.19
S  0.8908  0.4956  0.4095  1 V 2.19

Below is crystalline KYAgS2 at its relaxed geometry, with properties calculated at the PBE level.

Properties
calculated density = 3.51 g/cm³
space-group type = P2/c
ΔE_f (raw) = -1.102 eV per atom

Unit cell a=5.0629 b=7.3702 c=7.7042 alpha=99.45 beta=90.00 gamma=90.00
Last column: nearest neighbours and their distance in Å.
Element x y z (fractional)
K  0.1420  0.5000  0.7500  6 S 3.34-3.46
K  0.8580  0.5000  0.2500  6 S 3.34-3.46
Y  0.4935  0.0000  0.2500  4 S 2.69
Y  0.5065  0.0000  0.7500  4 S 2.69
Ag  0.0000  0.0000  0.0000  2 S 2.57
Ag  0.0000  0.0000  0.5000  2 S 2.57
S  0.6312  0.7577  0.9634  1 Ag 2.57, 2 Y 2.69
S  0.6312  0.2423  0.5366  1 Ag 2.57, 2 Y 2.69
S  0.3688  0.7577  0.4634  1 Ag 2.57, 2 Y 2.69
S  0.3688  0.2423  0.0366  1 Ag 2.57, 2 Y 2.69

Below is crystalline KZn2AgS at its relaxed geometry, with properties calculated at the PBE level.

Properties
calculated density = 3.67 g/cm³
space-group type = P4/mmm
ΔE_f (raw) = 0.138 eV per atom

Unit cell a=4.8645 b=5.9287 c=4.8645 alpha=90.00 beta=90.00 gamma=90.00
Last column: nearest neighbours and their distance in Å.
Element x y z (fractional)
S  0.0000  0.0000  0.0000  4 Zn 2.43
Zn  0.0000  0.0000  0.5000  2 S 2.43
Zn  0.5000  0.0000  0.0000  2 S 2.43
K  0.0000  0.5000  0.0000  2 S 2.96
Ag  0.5000  0.5000  0.5000  4 K 3.44, 8 Zn 3.83

Below is crystalline KZnAgS2 at its relaxed geometry, with properties calculated at the PBE level.

Properties
calculated density = 3.50 g/cm³
space-group type = C2/m
ΔE_f (raw) = -0.684 eV per atom

Unit cell a=3.9804 b=7.9759 c=8.9649 alpha=107.08 beta=90.00 gamma=104.45
Last column: nearest neighbours and their distance in Å.
Element x y z (fractional)
K  0.2933  0.5866  0.2944  5 S 3.13-3.34
K  0.7067  0.4134  0.7056  5 S 3.13-3.34
Zn  0.0435  0.0871  0.2496  3 S 2.25-2.36
Zn  0.9565  0.9129  0.7504  3 S 2.25-2.36
Ag  0.6042  0.2084  0.0393  3 S 2.52
Ag  0.3958  0.7916  0.9607  3 S 2.52
S  0.3734  0.7468  0.6705  2 Zn 2.36, 1 Ag 2.52
S  0.6266  0.2532  0.3295  2 Zn 2.36, 1 Ag 2.52
S  0.1076  0.2152  0.8687  1 Zn 2.25, 2 Ag 2.52
S  0.8924  0.7848  0.1313  1 Zn 2.25, 2 Ag 2.52

Below is crystalline KZrAgS3 at its relaxed geometry, with properties calculated at the PBE level.

Properties
calculated density = 3.41 g/cm³
space-group type = Cmcm
ΔE_f (raw) = -1.084 eV per atom

Unit cell a=6.8767 b=6.9576 c=7.6385 alpha=117.09 beta=90.00 gamma=90.00
Last column: nearest neighbours and their distance in Å.
Element x y z (fractional)
K  0.7500  0.2822  0.5645  8 S 3.48-3.85, 2 Ag 3.87
K  0.2500  0.7178  0.4355  8 S 3.48-3.85, 2 Ag 3.87
Zr  0.2500  0.0559  0.1117  5 S 2.37-2.54
Zr  0.7500  0.9441  0.8883  5 S 2.37-2.54
Ag  0.2500  0.4126  0.8252  5 S 2.49-2.74
Ag  0.7500  0.5874  0.1748  5 S 2.49-2.74
S  0.2500  0.2299  0.4597  1 Zr 2.37, 1 Ag 2.49
S  0.0000  0.2465  0.0000  2 Zr 2.54, 2 Ag 2.74
S  0.5000  0.7535  0.0000  2 Zr 2.54, 2 Ag 2.74
S  0.5000  0.2465  0.0000  2 Zr 2.54, 2 Ag 2.74
S  0.0000  0.7535  0.0000  2 Zr 2.54, 2 Ag 2.74
S  0.7500  0.7701  0.5403  1 Zr 2.37, 1 Ag 2.49

no.,energy (eV/atom),total magnetization (μB per cell)
1,-5.00,0.99
2,-5.78,1.12
3,-5.48,0.00
4,-5.33,0.00
5,-4.01,12.47
6,-4.75,0.00
7,-4.78,0.00
8,-4.84,0.00
9,-1.99,0.00
10,-3.38,0.00
11,-5.23,0.00